The following is a PBE calculation of crystalline YHg2BC at its relaxed geometry, from Alexandria.

Computed properties:
The final energy comes out at -4.18 eV per atom. For the calculated volume, the calculation gives 20.06 Å³ per atom. Its offset from the most stable computed form is 0.0 kJ per mole of atoms. The total magnetic moment is 0.0 μB per cell.

CIF file:
```
data_YHg2BC
_chemical_formula_sum 'Y1 Hg2 B1 C1'
_cell_length_a 5.840
_cell_length_b 5.840
_cell_length_c 2.942
_cell_angle_alpha 90.00
_cell_angle_beta 90.00
_cell_angle_gamma 90.00
_symmetry_space_group_name_H-M 'P 4/m m m'
_symmetry_Int_Tables_number 123
_symmetry_space_group_name_Hall '-P 4 2'
loop_
_atom_site_label
_atom_site_fract_x
_atom_site_fract_y
_atom_site_fract_z
_atom_site_occupancy
Y1 0.000 0.000 0.000 1
Hg1 0.000 0.500 0.500 1
B1 0.500 0.500 0.500 1
C1 0.500 0.500 0.000 1
```

The following is a PBE calculation of crystalline YHg2BC at its relaxed geometry, from Alexandria.

Computed properties:
The final energy comes out at -3.58 eV per atom. For the calculated volume, the calculation gives 19.43 Å³ per atom. Its offset from the most stable computed form is 57.9 kJ per mole of atoms. The total magnetic moment is 0.0 μB per cell.

CIF file:
```
data_YHg2BC
_chemical_formula_sum 'Y1 Hg2 B1 C1'
_cell_length_a 4.292
_cell_length_b 4.292
_cell_length_c 5.273
_cell_angle_alpha 90.00
_cell_angle_beta 90.00
_cell_angle_gamma 90.00
_symmetry_space_group_name_H-M 'P 4/m m m'
_symmetry_Int_Tables_number 123
_symmetry_space_group_name_Hall '-P 4 2'
loop_
_atom_site_label
_atom_site_fract_x
_atom_site_fract_y
_atom_site_fract_z
_atom_site_occupancy
Y1 0.000 0.000 0.000 1
Hg1 0.000 0.500 0.500 1
B1 0.000 0.000 0.500 1
C1 0.500 0.500 0.000 1
```

The following is a PBE calculation of crystalline YHgB2C at its relaxed geometry, from Alexandria.

Computed properties:
The final energy comes out at -4.27 eV per atom. For the calculated volume, the calculation gives 14.87 Å³ per atom. The total magnetic moment is 0.0 μB per cell.

CIF file:
```
data_YHgB2C
_chemical_formula_sum 'Y1 Hg1 B2 C1'
_cell_length_a 4.092
_cell_length_b 4.092
_cell_length_c 4.442
_cell_angle_alpha 90.00
_cell_angle_beta 90.00
_cell_angle_gamma 90.00
_symmetry_space_group_name_H-M 'P 4/m m m'
_symmetry_Int_Tables_number 123
_symmetry_space_group_name_Hall '-P 4 2'
loop_
_atom_site_label
_atom_site_fract_x
_atom_site_fract_y
_atom_site_fract_z
_atom_site_occupancy
Y1 0.000 0.000 0.000 1
Hg1 0.500 0.500 0.000 1
B1 0.000 0.500 0.500 1
C1 0.500 0.500 0.500 1
```